Entry 1:
# Hg3BrO (PBE, optimized geometry)
data_Hg3BrO
_cell_length_a 5.4608
_cell_length_b 7.4121
_cell_length_c 9.2056
_cell_angle_alpha 78.56
_cell_angle_beta 90.00
_cell_angle_gamma 111.62
_symmetry_space_group_name_H-M 'P 1'
_symmetry_Int_Tables_number 1
loop_
_symmetry_equiv_pos_as_xyz
'x,y,z'
loop_
_atom_site_label
_atom_site_type_symbol
_atom_site_fract_x
_atom_site_fract_y
_atom_site_fract_z
Hg1 Hg 0.6268 0.2535 0.9897
Hg2 Hg 0.3732 0.7465 0.0103
Hg3 Hg 0.3723 0.7446 0.6040
Hg4 Hg 0.6247 0.2493 0.6870
Hg5 Hg 0.6277 0.2554 0.3960
Hg6 Hg 0.3753 0.7507 0.3130
Br1 Br 0.1701 0.3402 0.8612
Br2 Br 0.8299 0.6598 0.1388
O1 O 0.4476 0.8952 0.7824
O2 O 0.5524 0.1048 0.2176
# **Formation energy (no corrections)**: -0.10 eV/atom
# **Crystal system**: monoclinic
# **Space group**: C2/m
# **Energy relative to the lowest polymorph listed for this composition**: 0.63 eV/f.u.

Entry 2:
# Ce2DyHg (PBE, optimized geometry)
data_Ce2DyHg
_cell_length_a 5.2689
_cell_length_b 4.5091
_cell_length_c 4.5091
_cell_angle_alpha 90.00
_cell_angle_beta 90.00
_cell_angle_gamma 90.00
_symmetry_space_group_name_H-M 'P 1'
_symmetry_Int_Tables_number 1
loop_
_symmetry_equiv_pos_as_xyz
'x,y,z'
loop_
_atom_site_label
_atom_site_type_symbol
_atom_site_fract_x
_atom_site_fract_y
_atom_site_fract_z
Hg1 Hg 0.5000 0.0000 0.0000
Ce1 Ce 0.0000 0.0000 0.5000
Ce2 Ce 0.0000 0.5000 0.0000
Dy1 Dy 0.5000 0.5000 0.5000
# **Crystal system**: tetragonal
# **ΔE_f**: -0.451 eV/f.u.
# **Space group**: P4/mmm
# **Energy relative to the lowest polymorph listed for this composition**: 0.00 eV/f.u.

Entry 3:
# La2PrNdEr4 (PBE, optimized geometry)
data_La2PrNdEr4
_cell_length_a 3.6295
_cell_length_b 6.2809
_cell_length_c 11.8325
_cell_angle_alpha 79.78
_cell_angle_beta 90.00
_cell_angle_gamma 90.00
_symmetry_space_group_name_H-M 'P 1'
_symmetry_Int_Tables_number 1
loop_
_symmetry_equiv_pos_as_xyz
'x,y,z'
loop_
_atom_site_label
_atom_site_type_symbol
_atom_site_fract_x
_atom_site_fract_y
_atom_site_fract_z
La1 La 0.0000 0.0000 0.0000
La2 La 0.5000 0.0000 0.5000
Pr1 Pr 0.5000 0.5000 0.0000
Nd1 Nd 0.0000 0.5000 0.5000
Er1 Er 0.0000 0.7500 0.7501
Er2 Er 0.0000 0.2500 0.2499
Er3 Er 0.5000 0.7492 0.2507
Er4 Er 0.5000 0.2508 0.7493
# **Crystal system**: monoclinic
# **ΔE_f**: 0.140 eV/f.u.
# **Space group**: P2/m

Entry 4:
# Er4CuSb (PBE, optimized geometry)
data_Er4CuSb
_cell_length_a 6.9727
_cell_length_b 7.1037
_cell_length_c 7.0806
_cell_angle_alpha 90.00
_cell_angle_beta 92.87
_cell_angle_gamma 90.00
_symmetry_space_group_name_H-M 'P 1'
_symmetry_Int_Tables_number 1
loop_
_symmetry_equiv_pos_as_xyz
'x,y,z'
loop_
_atom_site_label
_atom_site_type_symbol
_atom_site_fract_x
_atom_site_fract_y
_atom_site_fract_z
Er1 Er 0.8711 0.6452 0.1721
Er2 Er 0.6289 0.1452 0.8279
Er3 Er 0.3197 0.3341 0.3581
Er4 Er 0.1803 0.8341 0.6419
Er5 Er 0.1289 0.3548 0.8279
Er6 Er 0.3711 0.8548 0.1721
Er7 Er 0.6803 0.6659 0.6419
Er8 Er 0.8197 0.1659 0.3581
Cu1 Cu 0.5000 0.0000 0.5000
Cu2 Cu 0.0000 0.5000 0.5000
Sb1 Sb 0.0000 0.0000 0.0000
Sb2 Sb 0.5000 0.5000 0.0000
# **Formation energy (no corrections)**: -0.23 eV/atom
# **Crystal system**: monoclinic
# **Space group**: P2_1/c
# **Energy relative to the lowest polymorph listed for this composition**: 0.98 eV/f.u.

Entry 5:
# AcSm3N (PBE, optimized geometry)
data_AcSm3N
_cell_length_a 5.1603
_cell_length_b 5.1603
_cell_length_c 5.1603
_cell_angle_alpha 90.00
_cell_angle_beta 90.00
_cell_angle_gamma 90.00
_symmetry_space_group_name_H-M 'P 1'
_symmetry_Int_Tables_number 1
loop_
_symmetry_equiv_pos_as_xyz
'x,y,z'
loop_
_atom_site_label
_atom_site_type_symbol
_atom_site_fract_x
_atom_site_fract_y
_atom_site_fract_z
Ac1 Ac 0.5000 0.5000 0.5000
Sm1 Sm 0.0000 0.5000 0.0000
Sm2 Sm 0.0000 0.0000 0.5000
Sm3 Sm 0.5000 0.0000 0.0000
N1 N 0.0000 0.0000 0.0000
# **Formation energy (no corrections)**: -0.39 eV/atom
# **Crystal system**: cubic
# **Space group**: Pm-3m

| no. | final energy (eV/atom) | Fermi-level density of states (states/eV/cell) | theoretical density (kg/m3) |
| --- | --- | --- | --- |
| 1 | -1.61 | 3.06 | 6847 |
| 2 | -4.31 | 10.91 | 9972 |
| 3 | -4.69 | 10.22 | 7706 |
| 4 | -4.64 | 14.67 | 8100 |
| 5 | -5.71 | 6.56 | 8363 |